Entry a
# Pm3NiPd2 | Alexandria | PBE-GGA | optimized geometry
data_Pm3NiPd2
_chemical_formula_sum 'Pm3 Ni1 Pd2'
_cell_length_a 5.0417
_cell_length_b 5.0417
_cell_length_c 6.1812
_cell_angle_alpha 90.00
_cell_angle_beta 90.00
_cell_angle_gamma 120.00
_space_group_name_H-M_alt 'P -3 m 1'
_space_group_IT_number 164
_space_group_name_Hall '-P 3 2"'
loop_
_atom_site_label
_atom_site_type_symbol
_atom_site_fract_x
_atom_site_fract_y
_atom_site_fract_z
_atom_site_occupancy
Pm1 Pm 0.0000 0.0000 0.0000 1
Pm2 Pm 0.3333 0.6667 0.6594 1
Ni1 Ni 0.0000 0.0000 0.5000 1
Pd1 Pd 0.3333 0.6667 0.1649 1
# D(E_F), states/eV/f.u.: 5.41



Entry b
# Pm3NiPd2 | Alexandria | PBE-GGA | optimized geometry
data_Pm3NiPd2
_chemical_formula_sum 'Pm12 Ni4 Pd8'
_cell_length_a 11.723
_cell_length_b 4.123
_cell_length_c 11.865
_cell_angle_alpha 90.00
_cell_angle_beta 90.00
_cell_angle_gamma 90.00
_space_group_name_H-M_alt 'P n m a'
_space_group_IT_number 62
_space_group_name_Hall '-P 2ac 2n'
loop_
_atom_site_label
_atom_site_type_symbol
_atom_site_fract_x
_atom_site_fract_y
_atom_site_fract_z
_atom_site_occupancy
Pm1 Pm 0.054 0.250 0.125 1
Pm2 Pm 0.122 0.750 0.554 1
Pm3 Pm 0.221 0.250 0.803 1
Ni1 Ni 0.122 0.250 0.371 1
Pd1 Pd 0.007 0.750 0.305 1
Pd2 Pd 0.185 0.750 0.992 1
# D(E_F), states/eV/f.u.: 3.79



Most stable structure - entry b; separation to the second - 37 meV per atom.